Record 1
Below is a geometry-optimized Al3Zn2Cu7 structure, with properties calculated at the PBE-GGA level.

Calculated values
Formation enthalpy at 0 K, eV/atom: -0.042

Unit cell a=4.248 b=2.875 c=13.530 alpha=90.00 beta=97.72 gamma=90.00
Atoms (fractional coordinates):
Al 0.000 0.000 0.000
Al 0.340 0.500 0.704
Al 0.660 0.500 0.296
Zn 0.186 0.000 0.353
Zn 0.814 0.000 0.647
Cu 0.108 0.500 0.173
Cu 0.271 0.000 0.547
Cu 0.403 0.000 0.855
Cu 0.500 0.500 0.000
Cu 0.597 0.000 0.145
Cu 0.729 0.000 0.453
Cu 0.892 0.500 0.827

Record 2
Below is a geometry-optimized Y2ZnRuN structure, with properties calculated at the PBE-GGA level.

Calculated values
Raw formation energy, meV per atom: -687

Unit cell a=4.904 b=4.904 c=3.868 alpha=90.00 beta=90.00 gamma=90.00
Atoms (fractional coordinates):
Y 0.000 0.500 0.000
Y 0.500 0.000 0.000
Zn 0.000 0.000 0.500
Ru 0.500 0.500 0.500
N 0.500 0.500 0.000

Record 3
Below is a geometry-optimized NdTm7Cd2 structure, with properties calculated at the PBE-GGA level.

Calculated values
Formation enthalpy at 0 K, eV/atom: 0.424

Unit cell a=8.771 b=8.771 c=5.365 alpha=90.00 beta=90.00 gamma=118.67
Atoms (fractional coordinates):
Nd 0.000 0.000 0.000
Tm 0.061 0.302 0.500
Tm 0.235 0.765 0.000
Tm 0.302 0.061 0.500
Tm 0.500 0.500 0.500
Tm 0.698 0.939 0.500
Tm 0.765 0.235 0.000
Tm 0.939 0.698 0.500
Cd 0.303 0.697 0.500
Cd 0.697 0.303 0.500

no.,total moment (μB per atom)
1,0.0000
2,0.0000
3,0.2295